Entry 1:
# PBE-GGA CaAcTb2Pr6, optimized geometry
data_CaAcTb2Pr6
_chemical_formula_sum 'Ca2 Ac2 Tb4 Pr12'
_space_group_name_H-M_alt 'P 1'
_space_group_IT_number 1
_space_group_name_Hall 'P 1'
_cell_length_a 9.1909
_cell_length_b 9.1909
_cell_length_c 10.1143
_cell_angle_alpha 93.72
_cell_angle_beta 93.72
_cell_angle_gamma 118.66
loop_
_atom_site_label
_atom_site_type_symbol
_atom_site_fract_x
_atom_site_fract_y
_atom_site_fract_z
_atom_site_occupancy
Ca1 Ca 0.0962 0.9038 0.7500 1
Ca2 Ca 0.9038 0.0962 0.2500 1
Ac1 Ac 0.4737 0.5263 0.2500 1
Ac2 Ac 0.5263 0.4737 0.7500 1
Tb1 Tb 0.1915 0.3005 0.9560 1
Tb2 Tb 0.3005 0.1915 0.4560 1
Tb3 Tb 0.6995 0.8085 0.5440 1
Tb4 Tb 0.8085 0.6995 0.0440 1
Pr1 Pr 0.0016 0.7899 0.3787 1
Pr2 Pr 0.0613 0.5271 0.1759 1
Pr3 Pr 0.2101 0.9984 0.1213 1
Pr4 Pr 0.2569 0.6183 0.5517 1
Pr5 Pr 0.3817 0.7431 0.9483 1
Pr6 Pr 0.4729 0.9387 0.3241 1
Pr7 Pr 0.5271 0.0613 0.6759 1
Pr8 Pr 0.6183 0.2569 0.0517 1
Pr9 Pr 0.7431 0.3817 0.4483 1
Pr10 Pr 0.7899 0.0016 0.8787 1
Pr11 Pr 0.9387 0.4729 0.8241 1
Pr12 Pr 0.9984 0.2101 0.6213 1
# - Space group: No. 15
# - E_form: 126 meV per atom



Entry 2:
# PBE-GGA Nd4Bi2SbAs, optimized geometry
data_Nd4Bi2SbAs
_chemical_formula_sum 'Nd4 Bi2 Sb1 As1'
_space_group_name_H-M_alt 'P 1'
_space_group_IT_number 1
_space_group_name_Hall 'P 1'
_cell_length_a 7.7952
_cell_length_b 4.4905
_cell_length_c 7.8266
_cell_angle_alpha 90.00
_cell_angle_beta 109.29
_cell_angle_gamma 90.00
loop_
_atom_site_label
_atom_site_type_symbol
_atom_site_fract_x
_atom_site_fract_y
_atom_site_fract_z
_atom_site_occupancy
Nd1 Nd 0.2370 0.0000 0.2335 1
Nd2 Nd 0.2460 0.5000 0.7614 1
Nd3 Nd 0.7540 0.5000 0.2386 1
Nd4 Nd 0.7630 0.0000 0.7665 1
Bi1 Bi 0.0000 0.0000 0.5000 1
Bi2 Bi 0.5000 0.5000 0.5000 1
Sb1 Sb 0.5000 0.0000 0.0000 1
As1 As 0.0000 0.5000 0.0000 1
# - Space group: No. 10
# - Uncorrected formation energy: -1.13 eV/atom



Entry 3:
# PBE-GGA SrLiAcAu, optimized geometry
data_SrLiAcAu
_chemical_formula_sum 'Sr1 Li1 Ac1 Au1'
_space_group_name_H-M_alt 'P 1'
_space_group_IT_number 1
_space_group_name_Hall 'P 1'
_cell_length_a 5.5565
_cell_length_b 5.5565
_cell_length_c 5.5565
_cell_angle_alpha 60.00
_cell_angle_beta 60.00
_cell_angle_gamma 60.00
loop_
_atom_site_label
_atom_site_type_symbol
_atom_site_fract_x
_atom_site_fract_y
_atom_site_fract_z
_atom_site_occupancy
Sr1 Sr 0.0000 0.0000 0.0000 1
Li1 Li 0.2500 0.2500 0.2500 1
Ac1 Ac 0.5000 0.5000 0.5000 1
Au1 Au 0.7500 0.7500 0.7500 1
# - Space group: No. 216
# - E_form: -335 meV per atom